VASP calculation (PBE with a Hubbard U) on a geometry-optimized CoSbNF2 structure.

a b c (Å): 4.3493 4.3493 4.2015
angles (deg): 90.00 90.00 90.00
Site moments in Bohr magnetons follow the coordinates.
Element x y z (fractional)
Sb (0.0000, 0.0000, 0.0000)  -0.01
N (0.0000, 0.0000, 0.5000)  0.01
Co (0.5000, 0.5000, 0.5000)  2.32
F (0.0000, 0.5000, 0.0000)  0.00
F (0.5000, 0.0000, 0.0000)  0.00

Calculated values
Calculated volume   15.90 Å³ per atom
Symmetry   P4/mmm (123)
E_tot   -4.338 eV per atom